{
  "formula": "CsAg2SnTe4",
  "functional": "PBE",
  "state": "relaxed",
  "cell": [[-5.1831, 2.1312, 5.3280], [-6.1469, -3.9507, 1.2118], [1.2561, -0.9952, 7.2314]],
  "species": ["Cs", "Ag", "Ag", "Sn", "Te", "Te", "Te", "Te"],
  "frac_coords": [[0.0000, 0.0000, 0.0000], [0.5000, 0.7491, 0.2509], [0.5000, 0.2509, 0.7491], [0.0000, 0.5000, 0.5000], [0.5935, 0.5321, 0.8743], [0.4065, 0.1257, 0.4679], [0.9999, 0.4679, 0.1257], [0.0001, 0.8743, 0.5321]],
  "raw_formation_energy_mev_per_atom": -265.9,
  "m_tot_mub_per_cell": 0.00
}

{
  "formula": "Cs2SrAg2",
  "functional": "PBE",
  "state": "relaxed",
  "cell": [[10.4373, 0.0000, 0.0000], [0.0000, 10.4373, 0.0000], [0.0000, 0.0000, 4.1230]],
  "species": ["Cs", "Cs", "Cs", "Cs", "Sr", "Sr", "Ag", "Ag", "Ag", "Ag"],
  "frac_coords": [[0.8716, 0.3716, 0.0000], [0.6284, 0.8716, 0.0000], [0.1284, 0.6284, 0.0000], [0.3716, 0.1284, 0.0000], [0.0000, 0.0000, 0.0000], [0.5000, 0.5000, 0.0000], [0.6761, 0.1761, 0.5000], [0.8239, 0.6761, 0.5000], [0.3239, 0.8239, 0.5000], [0.1761, 0.3239, 0.5000]],
  "formation_enthalpy_0k_ev_per_atom": 0.1988,
  "m_tot_mub_per_cell": 0.00,
  "e_above_lowest_polymorph_ev_per_atom": 0.149
}

{
  "formula": "CsSr3Ag",
  "functional": "PBE",
  "state": "relaxed",
  "cell": [[-5.1489, 3.8533, 0.7164], [-0.8751, 0.0226, -6.4114], [-3.8204, -5.1984, 0.5031]],
  "species": ["Cs", "Sr", "Sr", "Sr", "Ag"],
  "frac_coords": [[0.5000, 0.5000, 0.5000], [0.0000, 0.5000, 0.0000], [0.0000, 0.0000, 0.5000], [0.5000, 0.0000, 0.0000], [0.0000, 0.0000, 0.0000]],
  "formation_enthalpy_0k_ev_per_atom": -0.0350,
  "m_tot_mub_per_cell": 0.00,
  "e_above_lowest_polymorph_ev_per_atom": 0.000
}

{
  "formula": "Cs2SrAg2",
  "functional": "PBE",
  "state": "relaxed",
  "cell": [[8.8512, 0.0000, 0.0000], [0.0000, 8.8512, 0.0000], [0.0000, 0.0000, 5.8294]],
  "species": ["Cs", "Cs", "Cs", "Cs", "Sr", "Sr", "Ag", "Ag", "Ag", "Ag"],
  "frac_coords": [[0.1662, 0.6662, 0.5000], [0.6662, 0.8338, 0.5000], [0.8338, 0.3338, 0.5000], [0.3338, 0.1662, 0.5000], [0.0000, 0.0000, 0.0000], [0.5000, 0.5000, 0.0000], [0.3811, 0.8811, 0.0000], [0.8811, 0.6189, 0.0000], [0.6189, 0.1189, 0.0000], [0.1189, 0.3811, 0.0000]],
  "formation_enthalpy_0k_ev_per_atom": 0.0503,
  "m_tot_mub_per_cell": 0.00,
  "e_above_lowest_polymorph_ev_per_atom": 0.000
}

{
  "formula": "Cs3SrAg",
  "functional": "PBE",
  "state": "relaxed",
  "cell": [[-6.3074, -1.0844, 3.6223], [1.3600, -7.2241, 0.2054], [3.5281, 0.8460, 6.3966]],
  "species": ["Cs", "Cs", "Cs", "Sr", "Ag"],
  "frac_coords": [[0.0000, 0.5000, 0.0000], [0.0000, 0.0000, 0.5000], [0.5000, 0.0000, 0.0000], [0.5000, 0.5000, 0.5000], [0.0000, 0.0000, 0.0000]],
  "formation_enthalpy_0k_ev_per_atom": 0.1750,
  "m_tot_mub_per_cell": 0.00
}

{
  "formula": "CsSr3Ag",
  "functional": "PBE",
  "state": "relaxed",
  "cell": [[6.5762, 0.0000, 0.0000], [0.0000, 6.5762, 0.0000], [0.0000, 0.0000, 6.5762]],
  "species": ["Cs", "Sr", "Sr", "Sr", "Ag"],
  "frac_coords": [[0.0000, 0.0000, 0.0000], [0.0000, 0.5000, 0.0000], [0.0000, 0.0000, 0.5000], [0.5000, 0.0000, 0.0000], [0.5000, 0.5000, 0.5000]],
  "formation_enthalpy_0k_ev_per_atom": 1.0671,
  "m_tot_mub_per_cell": 3.85,
  "e_above_lowest_polymorph_ev_per_atom": 1.102
}